Computed, not measured: crystalline LiCd5 at its relaxed geometry at the GGA-PBEsol level of DFT.

Cell lengths 5.654, 5.654, 5.654 Å; angles 60.00, 60.00, 60.00 degrees
Positions (direct):
1 Li 0.000 0.000 0.000
2 Cd 0.625 0.625 0.625
3 Cd 0.625 0.125 0.625
4 Cd 0.125 0.625 0.625
5 Cd 0.625 0.625 0.125
6 Cd 0.250 0.250 0.250

Values from the calculation:
Electronic total energy = -8.11 eV per formula unit
Crystal system = cubic
Relative energy among the computed polymorphs = 89 meV per atom
Total magnetization = 0.0 μB per cell
Fermi-level density of states = 2.81 states/eV per cell
Formation energy = -0.027 eV per atom


Computed, not measured: crystalline Ni4B3 at its relaxed geometry at the GGA-PBEsol level of DFT.

Cell lengths 2.982, 6.481, 11.798 Å; angles 90.00, 90.00, 90.00 degrees
Positions (direct):
1 B 0.250 0.817 0.757
2 B 0.750 0.522 0.960
3 B 0.750 0.317 0.743
4 B 0.250 0.022 0.540
5 B 0.750 0.183 0.243
6 B 0.250 0.478 0.040
7 B 0.250 0.683 0.257
8 B 0.750 0.936 0.025
9 B 0.250 0.436 0.475
10 B 0.250 0.064 0.975
11 B 0.750 0.978 0.460
12 B 0.750 0.564 0.525
13 Ni 0.750 0.008 0.851
14 Ni 0.750 0.620 0.799
15 Ni 0.250 0.750 0.449
16 Ni 0.250 0.750 0.949
17 Ni 0.750 0.832 0.623
18 Ni 0.750 0.880 0.299
19 Ni 0.750 0.250 0.551
20 Ni 0.250 0.168 0.377
21 Ni 0.750 0.668 0.123
22 Ni 0.250 0.332 0.877
23 Ni 0.750 0.250 0.051
24 Ni 0.250 0.992 0.149
25 Ni 0.250 0.120 0.701
26 Ni 0.250 0.508 0.649
27 Ni 0.750 0.492 0.351
28 Ni 0.250 0.380 0.201

Values from the calculation:
Electronic total energy = -48.14 eV per formula unit
Crystal system = orthorhombic
Relative energy among the computed polymorphs = 0 meV per atom
Total magnetization = 0.0 μB per cell
Fermi-level density of states = 10.16 states/eV per cell
Formation energy = -0.352 eV per atom


Computed, not measured: crystalline Zn3InMo at its relaxed geometry at the GGA-PBEsol level of DFT.

Cell lengths 4.847, 4.847, 4.847 Å; angles 90.00, 90.00, 90.00 degrees
Positions (direct):
1 Mo 0.000 0.000 0.000
2 Zn 0.500 0.000 0.000
3 Zn 0.000 0.500 0.000
4 Zn 0.000 0.000 0.500
5 In 0.500 0.500 0.500

Values from the calculation:
Electronic total energy = -14.51 eV per formula unit
Crystal system = cubic
Total magnetization = 1.2 μB per cell
Fermi-level density of states = 4.04 states/eV per cell
Formation energy = 0.997 eV per atom


Computed, not measured: crystalline Cu2AgP at its relaxed geometry at the GGA-PBEsol level of DFT.

Cell lengths 3.699, 3.699, 4.685 Å; angles 113.25, 113.25, 90.00 degrees
Positions (direct):
1 Cu 0.000 0.000 0.000
2 Cu 0.750 0.250 0.500
3 P 0.500 0.500 0.000
4 Ag 0.250 0.750 0.500

Values from the calculation:
Electronic total energy = -17.13 eV per formula unit
Crystal system = tetragonal
Total magnetization = 0.0 μB per cell
Fermi-level density of states = 1.46 states/eV per cell
Formation energy = 0.159 eV per atom


Computed, not measured: crystalline MgZn2Ni at its relaxed geometry at the GGA-PBEsol level of DFT.

Cell lengths 3.743, 3.742, 3.872 Å; angles 90.00, 90.00, 90.00 degrees
Positions (direct):
1 Ni 0.000 0.500 0.500
2 Zn 0.500 0.500 0.000
3 Zn 0.000 0.000 0.000
4 Mg 0.500 0.000 0.500

Values from the calculation:
Electronic total energy = -11.56 eV per formula unit
Crystal system = tetragonal
Total magnetization = 0.0 μB per cell
Fermi-level density of states = 1.69 states/eV per cell
Formation energy = -0.132 eV per atom


Computed, not measured: crystalline LaZn2Pd2 at its relaxed geometry at the GGA-PBEsol level of DFT.

Cell lengths 4.019, 4.019, 6.471 Å; angles 108.09, 108.09, 90.00 degrees
Positions (direct):
1 Zn 0.750 0.250 0.500
2 Zn 0.250 0.750 0.500
3 Pd 0.614 0.614 0.229
4 Pd 0.386 0.386 0.771
5 La 0.000 0.000 0.000

Values from the calculation:
Electronic total energy = -23.46 eV per formula unit
Crystal system = tetragonal
Total magnetization = 0.0 μB per cell
Fermi-level density of states = 2.10 states/eV per cell
Formation energy = -0.607 eV per atom